A geometry-optimized ThCu2Pt4 structure. Source: the Alexandria database, functional GGA-PBE.

space group = No. 139
calculated formation energy = 0.06 eV/f.u.

Unit cell a=6.185 b=6.185 c=6.185 alpha=98.54 beta=98.54 gamma=134.67
Element x y z (fractional)
Th (0.000, 0.000, 0.000)
Cu (0.250, 0.750, 0.500)
Cu (0.750, 0.250, 0.500)
Pt (0.270, 0.500, 0.770)
Pt (0.500, 0.270, 0.770)
Pt (0.500, 0.730, 0.230)
Pt (0.730, 0.500, 0.230)